(1)
BaBe2TcPd PBE relaxed; crystal system = tetragonal; E_tot = -19.44 eV per cell
1.0
-3.768 2.377 -0.297
-2.537 -3.541 3.843
1.391 2.623 3.335
Tc Be Ba Pd
1 2 1 1
Direct
0.500 0.500 0.500
0.500 0.000 0.000
0.000 0.000 0.500
0.000 0.500 0.000
0.000 0.000 0.000


(2)
BaBeVPd2 PBE relaxed; crystal system = tetragonal; E_tot = -15.43 eV per cell
1.0
-2.232 4.743 -0.675
-3.391 -2.147 -3.871
-3.552 -1.139 3.743
V Ba Pd Be
1 1 2 1
Direct
0.000 0.500 0.000
0.000 0.000 0.000
0.500 0.000 0.000
0.000 0.000 0.500
0.500 0.500 0.500


(3)
BaYBe2Pd PBE relaxed; crystal system = tetragonal; E_tot = -14.41 eV per cell
1.0
5.081 0.000 0.000
0.000 5.309 0.000
0.000 0.000 5.081
Y Be Ba Pd
1 2 1 1
Direct
0.500 0.500 0.500
0.500 0.000 0.000
0.000 0.000 0.500
0.000 0.000 0.000
0.000 0.500 0.000


(4)
BaBePt4 PBE relaxed; crystal system = cubic; E_tot = -30.62 eV per cell
1.0
0.000 3.872 3.872
3.872 0.000 3.872
3.872 3.872 0.000
Pt Be Ba
4 1 1
Direct
0.878 0.374 0.374
0.374 0.878 0.374
0.374 0.374 0.374
0.374 0.374 0.878
0.000 0.000 0.000
0.750 0.750 0.750


(5)
BaBe2Pt PBE relaxed; excess energy over the best structure of this formula in the dataset = 0.4229 eV per atom; crystal system = orthorhombic
1.0
-0.556 3.054 0.243
-0.297 0.196 -3.144
-7.102 -1.339 0.588
Ba Pt Be
1 1 2
Direct
0.500 0.500 0.750
0.500 0.500 0.250
0.000 0.000 0.399
0.000 0.000 0.101


(6)
BaBe3Pt PBE relaxed; excess energy over the best structure of this formula in the dataset = 2.6146 eV per atom; crystal system = cubic
1.0
-0.892 -4.306 -1.911
2.986 0.987 -3.619
3.644 -1.863 2.498
Be Ba Pt
3 1 1
Direct
0.000 0.000 0.500
0.000 0.500 0.000
0.500 0.000 0.000
0.000 0.000 0.000
0.500 0.500 0.500


(7)
BaBe2Pt PBE relaxed; excess energy over the best structure of this formula in the dataset = 0.0046 eV per atom; crystal system = trigonal
1.0
6.308 0.010 0.006
5.011 3.832 0.006
5.011 1.701 3.434
Be Ba Pt
2 1 1
Direct
0.247 0.247 0.247
0.929 0.929 0.929
0.754 0.754 0.754
0.571 0.571 0.571


(8)
BaBe2Pt PBE relaxed; excess energy over the best structure of this formula in the dataset = 0.4823 eV per atom; crystal system = orthorhombic
1.0
-1.395 -4.388 2.600
3.513 -2.881 -2.707
0.246 3.964 3.491
Be Ba Pt
2 1 1
Direct
0.894 0.894 0.000
0.747 0.247 0.500
0.244 0.744 0.500
0.614 0.614 0.000


(9)
BaBe2Pt PBE relaxed; excess energy over the best structure of this formula in the dataset = 0.4457 eV per atom; crystal system = orthorhombic
1.0
5.300 0.041 0.035
0.261 5.293 -0.035
-1.723 -3.770 3.303
Pt Be Ba
1 2 1
Direct
0.750 0.250 0.500
0.891 0.891 0.000
0.609 0.609 0.000
0.250 0.750 0.500


(10)
BaBe2Pt2 PBE relaxed; excess energy over the best structure of this formula in the dataset = 0.0000 eV per atom; crystal system = tetragonal
1.0
4.124 0.000 0.000
0.000 4.124 0.000
2.062 2.062 5.524
Pt Ba Be
2 1 2
Direct
0.346 0.346 0.308
0.654 0.654 0.692
0.000 0.000 0.000
0.250 0.750 0.500
0.750 0.250 0.500


(11)
BaBePt3 PBE relaxed; excess energy over the best structure of this formula in the dataset = 0.0000 eV per atom; crystal system = cubic
1.0
4.549 0.000 0.000
0.000 4.549 0.000
0.000 0.000 4.549
Pt Be Ba
3 1 1
Direct
0.000 0.000 0.500
0.500 0.000 0.000
0.000 0.500 0.000
0.000 0.000 0.000
0.500 0.500 0.500


(12)
BaBePt2 PBE relaxed; crystal system = tetragonal; E_tot = -16.79 eV per cell
1.0
5.174 -0.030 0.000
1.311 5.006 0.000
-3.243 -2.488 3.173
Pt Be Ba
2 1 1
Direct
0.000 0.000 0.000
0.500 0.500 0.000
0.750 0.250 0.500
0.250 0.750 0.500


no.,magnetization (μB/f.u.)
1,3.14
2,4.39
3,0.00
4,0.00
5,0.00
6,0.00
7,0.00
8,0.00
9,0.00
10,0.00
11,0.00
12,0.00